Record 1
A plane-wave DFT calculation with GGA-PBE was carried out for an optimized crystal structure of Th2Mg3Tl2.

a = 11.079 Å, b = 11.079 Å, c = 4.286 Å
α = 90.00°, β = 90.00°, γ = 156.88°
Sites, in units of the cell vectors:
Th 0.165 0.835 0.000
Th 0.835 0.165 0.000
Mg 0.000 0.000 0.000
Mg 0.431 0.569 0.500
Mg 0.569 0.431 0.500
Tl 0.295 0.705 0.500
Tl 0.705 0.295 0.500

Results
Uncorrected energy = -3.360 eV per atom
SG = No. 65


Record 2
A plane-wave DFT calculation with GGA-PBE was carried out for an optimized crystal structure of ThMgTl2.

a = 3.684 Å, b = 3.684 Å, c = 7.822 Å
α = 90.00°, β = 90.00°, γ = 90.00°
Sites, in units of the cell vectors:
Th 0.000 0.000 0.000
Mg 0.000 0.000 0.500
Tl 0.500 0.500 0.281
Tl 0.500 0.500 0.719

Results
Uncorrected energy = -3.532 eV per atom
SG = No. 123


Record 3
A plane-wave DFT calculation with GGA-PBE was carried out for an optimized crystal structure of ThMgTl.

a = 6.837 Å, b = 6.837 Å, c = 6.837 Å
α = 149.64°, β = 149.64°, γ = 43.47°
Sites, in units of the cell vectors:
Th 0.000 0.000 0.000
Mg 0.681 0.681 0.000
Tl 0.314 0.314 0.000

Results
Uncorrected energy = -3.832 eV per atom
SG = No. 107


Record 4
A plane-wave DFT calculation with GGA-PBE was carried out for an optimized crystal structure of Th3MgTl3.

a = 9.104 Å, b = 9.104 Å, c = 5.752 Å
α = 90.00°, β = 90.00°, γ = 120.00°
Sites, in units of the cell vectors:
Th 0.100 0.463 0.250
Th 0.363 0.900 0.250
Th 0.463 0.363 0.750
Th 0.537 0.637 0.250
Th 0.637 0.100 0.750
Th 0.900 0.537 0.750
Mg 0.333 0.667 0.750
Mg 0.667 0.333 0.250
Tl 0.057 0.248 0.750
Tl 0.191 0.943 0.750
Tl 0.248 0.191 0.250
Tl 0.752 0.809 0.750
Tl 0.809 0.057 0.250
Tl 0.943 0.752 0.250

Results
Uncorrected energy = -4.363 eV per atom
SG = No. 176